Record 1
The following is a PBE calculation of crystalline EuThHgGe at its relaxed geometry, from Alexandria via LeMat-Bulk.

Cell lengths 7.542, 7.542, 7.542 Å; angles 90.00, 90.00, 90.00 degrees
Space group F-43m (No. 216)
Asymmetric unit:
Eu  0.000  0.000  0.000 [4 per cell]
Th  0.000  0.000  0.500 [4 per cell]
Hg  0.250  0.250  0.250 [4 per cell]
Ge  0.250  0.250  0.750 [4 per cell]

Summary:
Uncorrected energy (eV per cell): -96.963
Crystal system: cubic
Total magnetization (Bohr magnetons per cell): 29.6
ρ (g/cm³): 10.18
Energy of formation (eV per atom): -0.407
Density of states at the Fermi level (states/eV/f.u.): 3.61


Record 2
The following is a PBE calculation of crystalline EuTmHgGe at its relaxed geometry, from Alexandria via LeMat-Bulk.

Cell lengths 7.395, 7.395, 7.395 Å; angles 90.00, 90.00, 90.00 degrees
Space group F-43m (No. 216)
Asymmetric unit:
Eu  0.000  0.000  0.000 [4 per cell]
Tm  0.000  0.000  0.500 [4 per cell]
Hg  0.250  0.250  0.750 [4 per cell]
Ge  0.250  0.250  0.250 [4 per cell]

Summary:
Uncorrected energy (eV per cell): -87.061
Crystal system: cubic
Total magnetization (Bohr magnetons per cell): 29.7
ρ (g/cm³): 9.76
Energy of formation (eV per atom): -0.525
Density of states at the Fermi level (states/eV/f.u.): 3.23


Record 3
The following is a PBE calculation of crystalline EuZnHgGe at its relaxed geometry, from Alexandria via LeMat-Bulk.

Cell lengths 7.144, 7.144, 7.144 Å; angles 90.00, 90.00, 90.00 degrees
Space group F-43m (No. 216)
Asymmetric unit:
Eu  0.000  0.000  0.000 [4 per cell]
Zn  0.000  0.000  0.500 [4 per cell]
Hg  0.250  0.250  0.250 [4 per cell]
Ge  0.250  0.250  0.750 [4 per cell]

Summary:
Uncorrected energy (eV per cell): -70.082
Crystal system: cubic
Total magnetization (Bohr magnetons per cell): 27.7
ρ (g/cm³): 8.94
Energy of formation (eV per atom): -0.263
Density of states at the Fermi level (states/eV/f.u.): 0.61


Record 4
The following is a PBE calculation of crystalline EuHoGe4 at its relaxed geometry, from Alexandria via LeMat-Bulk.

Cell lengths 8.040, 8.040, 8.040 Å; angles 90.00, 90.00, 90.00 degrees
Space group F-43m (No. 216)
Asymmetric unit:
Eu  0.000  0.000  0.000 [4 per cell]
Ho  0.250  0.250  0.750 [4 per cell]
Ge  0.124  0.124  0.376 [16 per cell]

Summary:
Uncorrected energy (eV per cell): -141.739
Crystal system: cubic
Total magnetization (Bohr magnetons per cell): 30.4
ρ (g/cm³): 7.76
Energy of formation (eV per atom): -0.352
Density of states at the Fermi level (states/eV/f.u.): 4.99